Below is DyHf4N6 after structural relaxation, with properties calculated at the GGA-PBE level.

total energy: -113.82 eV/f.u.
size of the total moment: 0.000 μB per cell
formation energy without anion corrections: -1.768 eV/atom

The structure in extended XYZ format:
```
22
Lattice="1.5880 -5.3128 0.0000 1.5880 5.3128 0.0000 0.0000 0.0000 16.3081" Properties=species:S:1:pos:R:3 pbc="T T T"
Dy 1.5880 3.7425 12.2310
Dy 1.5880 -3.7425 4.0770
Hf 1.5880 4.1780 2.2478
Hf 1.5880 4.1780 5.9063
Hf 1.5880 1.3880 0.7810
Hf 1.5880 1.3880 7.3730
Hf 1.5880 -1.3880 8.9350
Hf 1.5880 -1.3880 15.5270
Hf 1.5880 -4.1780 10.4018
Hf 1.5880 -4.1780 14.0603
N 0.0000 0.0000 0.0000
N 0.0000 0.0000 8.1540
N 1.5880 3.2778 4.0770
N 1.5880 2.4346 9.4860
N 1.5880 2.4346 14.9761
N 1.5880 0.3598 2.5908
N 1.5880 0.3598 5.5632
N 1.5880 -0.3598 10.7448
N 1.5880 -0.3598 13.7173
N 1.5880 -2.4346 1.3320
N 1.5880 -2.4346 6.8220
N 1.5880 -3.2778 12.2310
```